Entry from OQMD: an optimized crystal structure of Sm4BI5 (GGA-PBE).

Cell and atoms, written as CIF:
```
data_Sm4BI5
_space_group_name_H-M_alt 'C 1 2/m 1'
_space_group_IT_number 12
_cell_length_a 19.2803
_cell_length_b 4.1413
_cell_length_c 8.8397
_cell_angle_alpha 90.00
_cell_angle_beta 102.70
_cell_angle_gamma 90.00
loop_
_space_group_symop_operation_xyz
'x,y,z'
'-x,-y,-z'
'-x,y,-z'
'x,-y,z'
'x+1/2,y+1/2,z'
'-x+1/2,-y+1/2,-z'
'-x+1/2,y+1/2,-z'
'x+1/2,-y+1/2,z'
loop_
_atom_site_label
_atom_site_type_symbol
_atom_site_fract_x
_atom_site_fract_y
_atom_site_fract_z
Sm1 Sm 0.0009 0.0000 0.3009
Sm2 Sm 0.1378 0.5000 0.5697
B1 B 0.0000 0.5000 0.5000
I1 I 0.0000 0.5000 0.0000
I2 I 0.1656 0.0000 0.8422
I3 I 0.1716 0.0000 0.3240
```

Calculated values
total DFT energy (no corrections)	-4.431	eV/atom